Entry 1:
Pr3Ho2Cd | PBE-GGA | relaxed

Output
Excess energy over the best structure of this formula in the dataset ... 119 meV/atom
M_tot ... 0.0 μB/f.u.

Unit cell a=17.582 b=3.551 c=12.998 alpha=90.00 beta=104.86 gamma=90.00
Space group C2/m (No. 12)
Asymmetric unit:
Pr1 0.066 0.000 0.226
Pr2 0.088 0.500 0.980
Pr3 0.247 0.500 0.378
Ho1 0.086 0.500 0.473
Ho2 0.225 0.000 0.876
Cd1 0.089 0.500 0.715

Entry 2:
Pr3HoCd | PBE-GGA | relaxed

Output
Excess energy over the best structure of this formula in the dataset ... 100 meV/atom
M_tot ... 0.0 μB/f.u.

Unit cell a=3.863 b=10.727 c=8.240 alpha=90.00 beta=90.00 gamma=90.00
Space group Pmmn (No. 59, origin choice 2)
Asymmetric unit:
Pr1 0.250 0.001 0.244
Pr2 0.250 0.750 0.549
Ho1 0.250 0.750 0.941
Cd1 0.250 0.250 0.768

Entry 3:
Pr2Ho2Cd | PBE-GGA | relaxed

Output
Excess energy over the best structure of this formula in the dataset ... 0 meV/atom
M_tot ... 0.3 μB/f.u.

Unit cell a=3.645 b=3.645 c=23.415 alpha=90.00 beta=90.00 gamma=90.00
Space group I4/mmm (No. 139)
Asymmetric unit:
Pr1 0.000 0.000 0.192
Ho1 0.000 0.000 0.416
Cd1 0.000 0.000 0.000

Entry 4:
PrHo5Cd3 | PBE-GGA | relaxed

Output
Energy ... -63.90 eV/cell
M_tot ... 0.0 μB/f.u.

Unit cell a=9.1979 b=9.1979 c=6.9563 alpha=90.00 beta=90.00 gamma=120.00
Space group P6_3/mcm (No. 193)
Asymmetric unit:
Pr1 0.0000 0.0000 0.0000
Ho1 0.0000 0.3337 0.2500
Ho2 0.3333 0.6667 0.0000
Cd1 0.0000 0.3384 0.7500

Q: Look up the M_tot of the first one.
A: 0.0 μB/f.u.